Record 1
Density functional theory data (GGA-PBE) for crystalline V4CrRu at its relaxed geometry.

Results
Its size of the total moment is 0.0000 μB per atom. As for the relative energy among the computed polymorphs: 0 meV per atom. For the calculated formation energy, the calculation gives -138 kJ/mol of formula units.

Cell lengths 4.1957, 4.1853, 4.9336 Å; angles 65.13, 90.00, 90.00 degrees
Atoms (fractional coordinates):
Ru1 0.0000 0.0000 0.0000
V1 0.0000 0.6637 0.6727
V2 0.5000 0.8338 0.3326
Cr1 0.5000 0.5000 0.0000
V3 0.0000 0.3363 0.3273
V4 0.5000 0.1662 0.6674


Record 2
Density functional theory data (GGA-PBE) for crystalline LaPm3Th2Se6 at its relaxed geometry.

Results
The calculation puts the uncorrected formation energy at -21.040 eV per formula unit. Its size of the total moment is 0.0000 μB per atom.

Cell lengths 7.2610, 7.2610, 7.3617 Å; angles 99.48, 99.48, 119.86 degrees
Atoms (fractional coordinates):
Se1 0.5772 0.9144 0.7437
Se2 0.0856 0.4228 0.2563
Th1 0.3326 0.6674 0.0000
Se3 0.4228 0.0856 0.2563
Se4 0.2535 0.2535 0.7480
La1 0.0000 0.0000 0.0000
Se5 0.9144 0.5772 0.7437
Th2 0.6674 0.3326 0.0000
Pm1 0.5000 0.5000 0.5000
Pm2 0.8366 0.1634 0.5000
Pm3 0.1634 0.8366 0.5000
Se6 0.7465 0.7465 0.2520


Record 3
Density functional theory data (GGA-PBE) for crystalline Y5ZrSb4 at its relaxed geometry.

Results
The calculation puts the uncorrected formation energy at -6.860 eV per formula unit. Its size of the total moment is 0.0000 μB per atom.

Cell lengths 4.2324, 8.2781, 9.4419 Å; angles 104.86, 102.95, 90.00 degrees
Atoms (fractional coordinates):
Y1 0.1768 0.3538 0.3535
Y2 0.1656 0.8190 0.3312
Zr1 0.5000 0.0000 0.0000
Y3 0.8232 0.6462 0.6465
Y4 0.5000 0.5000 0.0000
Sb1 0.6651 0.0836 0.3302
Sb2 0.3349 0.9164 0.6698
Y5 0.8344 0.1810 0.6688
Sb3 0.0059 0.2475 0.0118
Sb4 0.9941 0.7525 0.9882


Record 4
Density functional theory data (GGA-PBE) for crystalline Cs2TmI6 at its relaxed geometry.

Results
The calculation puts the uncorrected formation energy at -10.439 eV per formula unit. Its size of the total moment is 0.0002 μB per atom.

Cell lengths 3.9904, 11.2392, 11.1133 Å; angles 120.38, 90.00, 90.00 degrees
Atoms (fractional coordinates):
I1 0.5000 0.4270 0.4286
I2 0.0000 0.2064 0.0000
Cs1 0.0000 0.6646 0.3355
Cs2 0.0000 0.3291 0.6645
I3 0.0000 0.0032 0.2057
I4 0.5000 0.9984 0.5714
I5 0.0000 0.7976 0.7943
Tm1 0.5000 0.0032 0.0000
I6 0.5000 0.5706 0.0000


size of the total moment of number 1 (V4CrRu)? 0.0000 μB per atom